Here is La2CoP3Pt12 after structural relaxation from the Alexandria database. Energies are from PBE.

Geometry as extended XYZ:
```
18
Lattice="4.085 2.359 6.154 -4.085 2.359 6.154 0.000 -4.717 6.154" Properties=species:S:1:pos:R:3 pbc="T T T"
La 0.000 0.000 2.222
La 0.000 0.000 16.239
Co 0.000 0.000 9.230
P -2.043 -1.179 6.154
P -2.043 1.179 12.307
P 0.000 2.359 6.154
Pt -1.975 -1.141 8.425
Pt 0.000 -2.124 5.599
Pt -1.839 1.062 5.599
Pt 0.000 -2.281 10.036
Pt -1.975 1.141 10.036
Pt -1.839 -1.062 12.862
Pt 1.839 1.062 5.599
Pt 1.975 -1.141 8.425
Pt 0.000 2.281 8.425
Pt 1.839 -1.062 12.862
Pt 0.000 2.124 12.862
Pt 1.975 1.141 10.036
```

Properties
Its density of states at the Fermi level is 11.904 states/eV per cell. As for the total energy: -113.186 eV for the cell shown. The value obtained for the formation energy is -0.42 eV per atom. The space-group type is R-3m (166).